1.
Density functional theory data (GGA-PBE) for CsRhSe2 after structural relaxation.

Results
Raw formation energy = -2.5 eV/f.u.
E = -70.69 eV/cell

a b c (Å): 13.9112 3.7315 10.1143
angles (deg): 90.00 113.51 90.00
Space group Cm (No. 8)
Symmetry-distinct sites (fractional):
Cs (0.0000, 0.0000, 0.0000) (multiplicity 2)
Cs (0.1596, 0.5000, 0.6595) (multiplicity 2)
Rh (0.3314, 0.0000, 0.2665) (multiplicity 2)
Rh (0.3734, 0.5000, 0.4958) (multiplicity 2)
Se (0.2181, 0.5000, 0.2803) (multiplicity 2)
Se (0.2717, 0.0000, 0.0003) (multiplicity 2)
Se (0.3943, 0.0000, 0.6617) (multiplicity 2)
Se (0.4628, 0.5000, 0.3345) (multiplicity 2)

2.
Density functional theory data (GGA-PBE) for CsRhSe2 after structural relaxation.

Results
Raw formation energy = -2.2 eV/f.u.
E = -69.39 eV/cell

a b c (Å): 8.2317 4.6820 13.6718
angles (deg): 90.00 100.74 90.00
Space group P2_1/c (No. 14)
Symmetry-distinct sites (fractional):
Cs (0.2342, 0.1453, 0.2052) (multiplicity 4)
Rh (0.3566, 0.1557, 0.4822) (multiplicity 4)
Se (0.0562, 0.1823, 0.4510) (multiplicity 4)
Se (0.3803, 0.6703, 0.4246) (multiplicity 4)

3.
Density functional theory data (GGA-PBE) for Cs2Rh3Se6 after structural relaxation.

Results
Raw formation energy = -6.9 eV/f.u.
E = -103.08 eV/cell

a b c (Å): 6.6563 11.5223 8.2611
angles (deg): 90.00 105.54 90.00
Space group C2/m (No. 12)
Symmetry-distinct sites (fractional):
Cs (0.0000, 0.1667, 0.0000) (multiplicity 4)
Rh (0.0000, 0.0000, 0.5000) (multiplicity 2)
Rh (0.0000, 0.3314, 0.5000) (multiplicity 4)
Se (0.2146, 0.5000, 0.6538) (multiplicity 4)
Se (0.2194, 0.1650, 0.6535) (multiplicity 8)

4.
Density functional theory data (GGA-PBE) for CsRhSe2 after structural relaxation.

Results
Raw formation energy = 1.9 eV/f.u.
E = -13.26 eV/cell

a b c (Å): 5.5670 5.5670 3.2010
angles (deg): 90.00 90.00 90.00
Space group P4/mmm (No. 123)
Symmetry-distinct sites (fractional):
Cs (0.0000, 0.0000, 0.0000) (multiplicity 1)
Rh (0.5000, 0.5000, 0.0000) (multiplicity 1)
Se (0.0000, 0.5000, 0.5000) (multiplicity 2)

> raw formation energy of number 2 (CsRhSe2)?

-2.2 eV/f.u.